No. 1
The following is a DFT calculation (PBE) of a geometry-optimized InHgSe2 structure.

VASP energy: -9.81 eV/cell
calculated volume: 24.06 Å³ per atom
E_form (uncorrected): 4.8 kJ/mol of atoms
M_tot: 0.00 μB/f.u.

a b c (Å): 3.636 3.636 7.279
angles (deg): 90.00 90.00 90.00
Element x y z (fractional)
In1 0.500 0.500 0.750
Se1 0.000 0.000 0.967
Hg1 0.500 0.500 0.250
Se2 0.000 0.000 0.533

No. 2
The following is a DFT calculation (PBE) of a geometry-optimized La8Ir3RhI3 structure.

VASP energy: -92.55 eV/cell
calculated volume: 34.34 Å³ per atom
E_form (uncorrected): -93.6 kJ/mol of atoms
M_tot: 0.68 μB/f.u.

a b c (Å): 8.492 8.497 9.586
angles (deg): 116.25 89.97 120.00
Element x y z (fractional)
La1 0.729 0.458 0.685
Ir1 0.500 0.500 0.500
I1 0.000 0.500 0.000
La2 0.771 0.543 0.316
La3 0.771 0.044 0.316
La4 0.271 0.542 0.315
La5 0.229 0.956 0.684
La6 0.727 0.956 0.684
Rh1 0.000 0.000 0.500
I2 0.500 0.500 0.000
La7 0.229 0.457 0.684
La8 0.273 0.044 0.316
I3 0.000 0.000 0.000
Ir2 0.000 0.500 0.500
Ir3 0.500 0.000 0.500

The highest E_form (uncorrected) belongs to which entry?
InHgSe2

Which value of VASP energy does entry 2 give?
-92.55 eV/cell